Entry 1:
{"formula": "SrNpIn", "functional": "PBE", "state": "optimized geometry", "lattice": [[0.0000, 3.8618, 3.8618], [3.8618, 0.0000, 3.8618], [3.8618, 3.8618, 0.0000]], "species": ["Sr", "Np", "In"], "fractional_positions": [[0.0000, 0.0000, 0.0000], [0.5000, 0.5000, 0.5000], [0.7500, 0.7500, 0.7500]], "spacegroup": "F-43m", "total_energy_ev_per_atom": -5.19}

***

Entry 2:
{"formula": "NaTaAgAu", "functional": "PBE", "state": "optimized geometry", "lattice": [[0.0000, 3.2797, 3.2797], [3.2797, 0.0000, 3.2797], [3.2797, 3.2797, 0.0000]], "species": ["Na", "Ta", "Ag", "Au"], "fractional_positions": [[0.0000, 0.0000, 0.0000], [0.2500, 0.2500, 0.2500], [0.7500, 0.7500, 0.7500], [0.5000, 0.5000, 0.5000]], "spacegroup": "F-43m", "total_energy_ev_per_atom": -4.36}